Rb2CdClO after structural relaxation, computed with GGA-PBE.

Properties
Symmetry: No. 123
Raw total energy, eV per atom: -3.0862
Energy relative to the elements, uncorrected, eV/atom: -1.1552

```
data_Rb2CdClO
_chemical_formula_sum 'Rb2 Cd1 Cl1 O1'
_symmetry_space_group_name_H-M 'P 1'
_symmetry_Int_Tables_number 1
_symmetry_space_group_name_Hall 'P 1'
_cell_length_a 5.897
_cell_length_b 5.897
_cell_length_c 4.436
_cell_angle_alpha 90.00
_cell_angle_beta 90.00
_cell_angle_gamma 90.00
loop_
_atom_site_label
_atom_site_type_symbol
_atom_site_fract_x
_atom_site_fract_y
_atom_site_fract_z
Rb1 Rb 0.000 0.500 0.000
Rb2 Rb 0.500 0.000 0.000
Cd1 Cd 0.000 0.000 0.500
Cl1 Cl 0.500 0.500 0.500
O1 O 0.000 0.000 0.000
```